[1]
Below is CsCoCuF6 at its PBEsol-relaxed geometry, with properties calculated at the meta-GGA SCAN level.

a = 6.998 Å, b = 7.146 Å, c = 10.191 Å
α = 90.00°, β = 90.00°, γ = 90.00°
Space group Imma (No. 74)
One atom of each set of equivalent atoms:
Cs 0.000 0.250 0.125 [4 per cell]
Co 0.250 0.250 0.750 [4 per cell]
Cu 0.000 0.000 0.500 [4 per cell]
F 0.000 0.250 0.426 [4 per cell]
F 0.000 0.250 0.811 [4 per cell]
F 0.207 0.065 0.629 [16 per cell]

ΔE_f (raw): -2335 meV per atom

[2]
Below is SrGeH3 at its PBEsol-relaxed geometry, with properties calculated at the meta-GGA SCAN level.

a = 3.959 Å, b = 3.959 Å, c = 3.959 Å
α = 90.00°, β = 90.00°, γ = 90.00°
Space group Pm-3m (No. 221)
One atom of each set of equivalent atoms:
Sr 0.000 0.000 0.000 [1 per cell]
Ge 0.500 0.500 0.500 [1 per cell]
H 0.000 0.500 0.500 [3 per cell]

density of states at the Fermi level: 1.32 states/eV per cell
total DFT energy (no corrections): -10.3322 eV per atom

[3]
Below is MnZnCu at its PBEsol-relaxed geometry, with properties calculated at the meta-GGA SCAN level.

a = 5.669 Å, b = 5.669 Å, c = 5.669 Å
α = 90.00°, β = 90.00°, γ = 90.00°
Space group F-43m (No. 216)
One atom of each set of equivalent atoms:
Mn 0.000 0.000 0.000 [4 per cell]
Zn 0.250 0.250 0.750 [4 per cell]
Cu 0.250 0.250 0.250 [4 per cell]

calculated formation energy: 354 meV per atom
density of states at the Fermi level: 6.81 states/eV per cell

[4]
Below is BaSc2P at its PBEsol-relaxed geometry, with properties calculated at the meta-GGA SCAN level.

a = 3.626 Å, b = 3.626 Å, c = 7.824 Å
α = 90.00°, β = 90.00°, γ = 90.00°
Space group P4mm (No. 99)
One atom of each set of equivalent atoms:
Ba 0.000 0.000 0.000 [1 per cell]
Sc 0.000 0.000 0.397 [1 per cell]
Sc 0.500 0.500 0.633 [1 per cell]
P 0.500 0.500 0.299 [1 per cell]

calculated formation energy: -587 meV per atom
density of states at the Fermi level: 3.25 states/eV per cell

[5]
Below is Sr2Mg17 at its PBEsol-relaxed geometry, with properties calculated at the meta-GGA SCAN level.

a = 10.4212 Å, b = 10.4212 Å, c = 10.2418 Å
α = 90.00°, β = 90.00°, γ = 120.00°
Space group P6_3/mmc (No. 194)
One atom of each set of equivalent atoms:
Sr 0.0000 0.0000 0.2500 [2 per cell]
Sr 0.3333 0.6667 0.2500 [2 per cell]
Mg 0.0000 0.5000 0.0000 [6 per cell]
Mg 0.0378 0.3672 0.7500 [12 per cell]
Mg 0.1651 0.3303 0.0214 [12 per cell]
Mg 0.3333 0.6667 0.6019 [4 per cell]

calculated formation energy: -43 meV per atom
density of states at the Fermi level: 16.94 states/eV per cell

[6]
Below is LaYGeAs2 at its PBEsol-relaxed geometry, with properties calculated at the meta-GGA SCAN level.

a = 5.063 Å, b = 5.063 Å, c = 5.305 Å
α = 90.00°, β = 90.00°, γ = 90.00°
Space group P4/mmm (No. 123)
One atom of each set of equivalent atoms:
La 0.000 0.000 0.000 [1 per cell]
Y 0.500 0.500 0.000 [1 per cell]
Ge 0.000 0.000 0.500 [1 per cell]
As 0.000 0.500 0.500 [2 per cell]

calculated formation energy: 82 meV per atom
density of states at the Fermi level: 3.15 states/eV per cell

Number 1: magnetization 1.00 μB per formula unit. Number 2: magnetization 0.00 μB per formula unit. Number 3: magnetization 3.82 μB per formula unit. Number 4: magnetization 0.21 μB per formula unit. Number 5: magnetization 0.00 μB per formula unit. Number 6: magnetization 1.48 μB per formula unit.